(1)
An optimized crystal structure of Cs2DyUS4. Source: Alexandria via LeMat-Bulk, functional PBE.

Structure (extended XYZ):
```
8
Lattice="7.115 0.000 0.000 0.000 4.110 0.000 -2.373 0.000 8.089" Properties=species:S:1:pos:R:3 pbc="T T T"
Cs 0.000 0.000 0.000
Cs 3.557 2.055 0.000
Dy -1.187 2.055 4.044
U 2.371 0.000 4.044
S -0.004 0.000 5.517
S 1.184 2.055 2.573
S 3.558 2.055 5.515
S 4.746 0.000 2.572
```

Output
symmetry	No. 10
final energy	-46.6	eV per formula unit
DOS(E_F)	6.706	states/eV/f.u.

=====

(2)
An optimized crystal structure of Cs2DyUS6. Source: Alexandria via LeMat-Bulk, functional PBE.

Structure (extended XYZ):
```
10
Lattice="0.000 5.285 5.285 5.285 0.000 5.285 5.285 5.285 0.000" Properties=species:S:1:pos:R:3 pbc="T T T"
Cs 2.643 2.643 2.643
Cs 7.928 7.928 7.928
Dy 0.000 0.000 0.000
U 5.285 5.285 5.285
S 5.285 5.285 2.731
S 5.285 2.731 5.285
S 7.839 5.285 5.285
S 2.731 5.285 5.285
S 5.285 7.839 5.285
S 5.285 5.285 7.839
```

Output
symmetry	No. 225
final energy	-56.0	eV per formula unit
DOS(E_F)	7.040	states/eV/f.u.

=====

(3)
An optimized crystal structure of Cs2DyU2S6. Source: Alexandria via LeMat-Bulk, functional PBE.

Structure (extended XYZ):
```
11
Lattice="3.502 -6.068 0.000 3.502 6.068 0.000 -2.289 0.000 8.270" Properties=species:S:1:pos:R:3 pbc="T T T"
Cs 3.502 4.059 0.000
Cs 3.502 -4.059 0.000
Dy -1.145 0.000 4.135
U 2.357 2.013 4.135
U 2.357 -2.013 4.135
S 0.027 2.044 5.594
S 1.194 0.000 2.671
S 0.027 -2.044 5.594
S 4.687 2.044 2.675
S 3.520 0.000 5.599
S 4.687 -2.044 2.675
```

Output
symmetry	No. 12
final energy	-71.1	eV per formula unit
DOS(E_F)	10.405	states/eV/f.u.

=====

(4)
An optimized crystal structure of CsDyUS4. Source: Alexandria via LeMat-Bulk, functional PBE.

Structure (extended XYZ):
```
14
Lattice="-4.297 4.350 5.962 4.297 -4.350 5.962 4.297 4.350 -5.962" Properties=species:S:1:pos:R:3 pbc="T T T"
Cs 0.000 2.175 1.519
Cs 4.297 2.175 4.443
Dy 4.297 0.000 0.000
Dy 0.000 0.000 5.962
U 2.149 2.175 -2.981
U 2.149 -2.175 2.981
S 4.297 -0.481 2.754
S 4.297 3.869 -2.754
S 2.566 2.175 -0.299
S 6.029 2.175 -0.299
S -1.732 2.175 6.262
S 1.732 2.175 6.262
S 0.000 0.481 8.716
S 0.000 4.830 3.209
```

Output
symmetry	No. 74
final energy	-44.0	eV per formula unit
DOS(E_F)	4.870	states/eV/f.u.

=====

(5)
An optimized crystal structure of Cs3DyU3S8. Source: Alexandria via LeMat-Bulk, functional PBE.

Structure (extended XYZ):
```
15
Lattice="4.056 2.342 8.220 -4.056 2.342 8.220 0.000 -4.684 8.220" Properties=species:S:1:pos:R:3 pbc="T T T"
Cs -2.028 -1.171 8.220
Cs -2.028 1.171 16.439
Cs 0.000 2.342 8.220
Dy 0.000 0.000 12.330
U -4.056 0.000 12.330
U -2.028 1.171 4.110
U 2.028 1.171 4.110
S -2.035 -1.175 13.795
S 0.000 0.000 5.597
S 0.000 -2.350 10.864
S -2.035 1.175 10.864
S 2.035 -1.175 13.795
S 0.000 2.350 13.795
S 0.000 0.000 19.062
S 2.035 1.175 10.864
```

Output
symmetry	No. 166
final energy	-96.8	eV per formula unit
DOS(E_F)	14.579	states/eV/f.u.

=====

(6)
An optimized crystal structure of Cs2Dy2US6. Source: Alexandria via LeMat-Bulk, functional PBE.

Structure (extended XYZ):
```
11
Lattice="3.502 -6.066 0.000 3.502 6.066 0.000 -2.391 0.000 8.248" Properties=species:S:1:pos:R:3 pbc="T T T"
Cs 3.502 4.018 0.000
Cs 3.502 -4.018 0.000
Dy 2.306 2.021 4.124
Dy 2.306 -2.021 4.124
U -1.195 0.000 4.124
S -0.050 1.998 5.580
S 1.095 0.000 2.671
S -0.050 -1.998 5.580
S 4.663 1.998 2.669
S 3.517 0.000 5.577
S 4.663 -1.998 2.669
```

Output
symmetry	No. 12
final energy	-66.1	eV per formula unit
DOS(E_F)	6.865	states/eV/f.u.

=====

(7)
An optimized crystal structure of Cs3Dy2US6. Source: Alexandria via LeMat-Bulk, functional PBE.

Structure (extended XYZ):
```
12
Lattice="3.569 -6.184 0.000 3.569 6.184 0.000 -2.380 0.000 8.071" Properties=species:S:1:pos:R:3 pbc="T T T"
Cs 0.000 0.000 0.000
Cs 3.569 2.075 0.000
Cs 3.569 -2.075 0.000
Dy 2.379 4.125 4.035
Dy 2.379 -4.125 4.035
U 2.379 0.000 4.035
S 1.186 2.069 2.570
S -0.007 0.000 5.503
S 1.186 -2.069 2.570
S 3.572 2.069 5.501
S 4.766 0.000 2.568
S 3.572 -2.069 5.501
```

Output
symmetry	No. 12
final energy	-67.6	eV per formula unit
DOS(E_F)	8.037	states/eV/f.u.

=====

(8)
An optimized crystal structure of Cs4Dy3US8. Source: Alexandria via LeMat-Bulk, functional PBE.

Structure (extended XYZ):
```
16
Lattice="4.113 2.375 8.071 -4.113 2.375 8.071 0.000 -4.749 8.071" Properties=species:S:1:pos:R:3 pbc="T T T"
Cs 0.000 0.000 0.000
Cs -2.057 -1.187 8.071
Cs -2.057 1.187 16.142
Cs 0.000 2.375 8.071
Dy -4.113 0.000 12.107
Dy -2.057 1.187 4.036
Dy 2.057 1.187 4.036
U 0.000 0.000 12.107
S 0.000 0.000 5.499
S -2.059 -1.189 13.573
S 0.000 -2.378 10.640
S -2.059 1.189 10.640
S 2.059 -1.189 13.573
S 0.000 2.378 13.573
S 2.059 1.189 10.640
S 0.000 0.000 18.714
```

Output
symmetry	No. 166
final energy	-88.6	eV per formula unit
DOS(E_F)	9.353	states/eV/f.u.

=====

(9)
An optimized crystal structure of Cs3Dy3VS8. Source: Alexandria via LeMat-Bulk, functional PBE.

Structure (extended XYZ):
```
15
Lattice="3.940 2.275 8.208 -3.940 2.275 8.208 0.000 -4.549 8.208" Properties=species:S:1:pos:R:3 pbc="T T T"
Cs -1.970 -1.137 8.208
Cs -1.970 1.137 16.415
Cs 0.000 2.275 8.208
Dy -3.940 0.000 12.311
Dy -1.970 1.137 4.104
Dy 1.970 1.137 4.104
V 0.000 0.000 12.311
S 0.000 0.000 5.605
S -1.786 -1.031 13.699
S 0.000 -2.063 10.924
S -1.786 1.031 10.924
S 1.786 -1.031 13.699
S 0.000 2.063 13.699
S 1.786 1.031 10.924
S 0.000 0.000 19.017
```

Output
symmetry	No. 166
final energy	-82.1	eV per formula unit
DOS(E_F)	6.212	states/eV/f.u.

=====

(10)
An optimized crystal structure of CsDyVS4. Source: Alexandria via LeMat-Bulk, functional PBE.

Structure (extended XYZ):
```
14
Lattice="6.551 0.000 0.000 0.000 6.801 0.000 -2.957 0.000 8.996" Properties=species:S:1:pos:R:3 pbc="T T T"
Cs 0.281 1.700 3.976
Cs 3.314 5.101 5.020
Dy -0.932 1.700 8.615
Dy 4.526 5.101 0.381
V 1.234 5.101 1.387
V 2.361 1.700 7.609
S -2.382 5.101 8.330
S -0.486 5.101 2.738
S 2.701 3.424 1.689
S 2.701 6.778 1.689
S 0.894 0.024 7.307
S 0.894 3.377 7.307
S 4.081 1.700 6.258
S 5.977 1.700 0.666
```

Output
symmetry	No. 11
final energy	-40.8	eV per formula unit
DOS(E_F)	4.075	states/eV/f.u.

=====

(11)
An optimized crystal structure of CsDy4YS8. Source: Alexandria via LeMat-Bulk, functional PBE.

Structure (extended XYZ):
```
14
Lattice="4.165 2.405 6.831 -4.165 2.405 6.831 0.000 -4.810 6.831" Properties=species:S:1:pos:R:3 pbc="T T T"
Cs 0.000 0.000 0.000
Dy -2.157 -1.246 9.387
Dy 0.000 0.000 5.156
Dy 2.157 -1.246 9.387
Dy 0.000 2.491 9.387
Y 0.000 0.000 12.938
S 0.000 0.000 7.852
S 0.000 -2.272 11.088
S -1.968 1.136 11.088
S -1.727 -0.997 14.702
S 0.000 0.000 17.501
S 1.968 1.136 11.088
S 1.727 -0.997 14.702
S 0.000 1.994 14.702
```

Output
symmetry	No. 160
final energy	-84.8	eV per formula unit
DOS(E_F)	0.000	states/eV/f.u.

=====

(12)
An optimized crystal structure of Cs2DyZn2S4. Source: Alexandria via LeMat-Bulk, functional PBE.

Structure (extended XYZ):
```
9
Lattice="8.156 -1.978 0.000 8.156 1.978 0.000 -3.193 0.000 7.754" Properties=species:S:1:pos:R:3 pbc="T T T"
Cs 1.925 0.000 0.485
Cs 11.193 0.000 7.269
Dy -1.596 0.000 3.877
Zn 3.714 0.000 3.714
Zn 9.405 0.000 4.039
S 0.753 0.000 5.353
S 5.371 0.000 5.416
S 7.748 0.000 2.338
S 12.366 0.000 2.401
```

Output
symmetry	No. 12
final energy	-35.8	eV per formula unit
DOS(E_F)	3.902	states/eV/f.u.